(1)
The following is a DFT calculation (GGA-PBE) of an optimized crystal structure of PrSi2Ni.

Values from the calculation:
Its final energy is -0.2109 Ha/atom.

```
PrSi2Ni
1.0
3.754 0.000 0.000
0.000 5.451 0.000
0.000 0.000 7.442
Pr Si Ni
2 4 2
direct
0.000 0.006 0.000
0.000 0.994 0.500
0.000 0.466 0.746
0.000 0.534 0.246
0.500 0.255 0.254
0.500 0.745 0.754
0.500 0.491 0.509
0.500 0.509 0.009
```

=====

(2)
The following is a DFT calculation (GGA-PBE) of an optimized crystal structure of PrSi2Ni9.

Values from the calculation:
Its final energy is -0.2183 Ha/atom.

```
PrSi2Ni9
1.0
-4.905 4.905 3.109
4.905 -4.905 3.109
4.905 4.905 -3.109
Pr Si Ni
2 4 18
direct
0.375 0.625 0.750
0.625 0.375 0.250
0.000 0.000 0.000
0.000 0.000 0.500
0.000 0.500 0.000
0.500 0.000 0.500
0.125 0.875 0.250
0.142 0.564 0.330
0.142 0.813 0.578
0.187 0.266 0.330
0.187 0.858 0.922
0.266 0.187 0.830
0.266 0.436 0.078
0.436 0.266 0.578
0.436 0.858 0.170
0.564 0.142 0.830
0.564 0.734 0.422
0.734 0.564 0.922
0.734 0.813 0.170
0.813 0.142 0.078
0.813 0.734 0.670
0.858 0.187 0.422
0.858 0.436 0.670
0.875 0.125 0.750
```

=====

(3)
The following is a DFT calculation (GGA-PBE) of an optimized crystal structure of Pr2SmSi4Ni4.

Values from the calculation:
Its final energy is -0.2225 Ha/atom.

```
Pr2SmSi4Ni4
1.0
-2.026 2.029 11.698
2.026 -2.029 11.698
2.026 2.029 -11.698
Pr Sm Si Ni
2 1 4 4
direct
0.149 0.149 0.000
0.851 0.851 0.000
0.000 0.500 0.500
0.300 0.300 0.000
0.449 0.949 0.500
0.551 0.051 0.500
0.700 0.700 0.000
0.249 0.749 0.500
0.402 0.402 0.000
0.598 0.598 0.000
0.751 0.251 0.500
```

=====

(4)
The following is a DFT calculation (GGA-PBE) of an optimized crystal structure of PrSiNiSn2.

Values from the calculation:
Its final energy is -0.1953 Ha/atom.

```
PrSiNiSn2
1.0
2.164 -11.493 0.000
2.164 11.493 0.000
0.000 0.000 4.403
Pr Si Ni Sn
2 2 2 4
direct
0.178 0.822 0.000
0.822 0.178 0.000
0.279 0.721 0.500
0.721 0.279 0.500
0.376 0.624 0.500
0.624 0.376 0.500
0.063 0.937 0.500
0.437 0.563 0.000
0.563 0.437 0.000
0.937 0.063 0.500
```

=====

(5)
The following is a DFT calculation (GGA-PBE) of an optimized crystal structure of Pr2SiNiSn.

Values from the calculation:
Its final energy is -0.2022 Ha/atom.

```
Pr2SiNiSn
1.0
-2.168 4.502 2.983
2.168 -4.502 2.983
2.168 4.502 -2.983
Pr Si Ni Sn
2 1 1 1
direct
0.213 0.000 0.213
0.787 0.000 0.787
0.817 0.317 0.500
0.204 0.704 0.500
0.485 0.485 0.000
```

=====

(6)
The following is a DFT calculation (GGA-PBE) of an optimized crystal structure of SrPrSi2Ni4.

Values from the calculation:
Its final energy is -0.2022 Ha/atom.

```
SrPrSi2Ni4
1.0
3.996 0.000 0.000
-1.998 3.461 0.000
0.000 0.000 10.066
Sr Pr Si Ni
1 1 2 4
direct
0.000 0.000 0.000
0.333 0.667 0.500
0.667 0.333 0.256
0.667 0.333 0.744
0.000 0.000 0.297
0.000 0.000 0.703
0.333 0.667 0.215
0.333 0.667 0.785
```

=====

(7)
The following is a DFT calculation (GGA-PBE) of an optimized crystal structure of PrTmSi2Ni4.

Values from the calculation:
Its final energy is -0.2194 Ha/atom.

```
PrTmSi2Ni4
1.0
4.000 0.000 0.000
-2.000 3.464 0.000
0.000 0.000 9.437
Pr Tm Si Ni
1 1 2 4
direct
0.000 0.000 0.000
0.667 0.333 0.500
0.333 0.667 0.260
0.333 0.667 0.740
0.000 0.000 0.318
0.000 0.000 0.682
0.667 0.333 0.212
0.667 0.333 0.788
```

=====

(8)
The following is a DFT calculation (GGA-PBE) of an optimized crystal structure of PrTmSi4Ni2.

Values from the calculation:
Its final energy is -0.2229 Ha/atom.

```
PrTmSi4Ni2
1.0
4.017 0.000 0.000
0.000 2.033 8.186
0.000 -2.033 8.186
Pr Tm Si Ni
1 1 4 2
direct
0.000 0.000 0.000
0.500 0.212 0.212
0.000 0.352 0.352
0.000 0.647 0.647
0.500 0.567 0.567
0.500 0.853 0.853
0.000 0.783 0.783
0.500 0.424 0.424
```

=====

(9)
The following is a DFT calculation (GGA-PBE) of an optimized crystal structure of PrYSi4Ni2.

Values from the calculation:
Its final energy is -0.2326 Ha/atom.

```
PrYSi4Ni2
1.0
4.109 0.000 0.000
0.000 4.031 0.000
-2.039 0.000 8.159
Pr Y Si Ni
1 1 4 2
direct
0.000 0.000 0.000
0.788 0.500 0.576
0.148 0.500 0.293
0.353 0.000 0.706
0.434 0.500 0.867
0.647 0.000 0.293
0.215 0.000 0.430
0.578 0.500 0.152
```

=====

(10)
The following is a DFT calculation (GGA-PBE) of an optimized crystal structure of PrYSi4Ni2.

Values from the calculation:
Its final energy is -0.2326 Ha/atom.

```
PrYSi4Ni2
1.0
4.029 0.000 0.000
0.000 2.047 8.206
0.000 -2.047 8.206
Pr Y Si Ni
1 1 4 2
direct
0.000 0.000 0.000
0.500 0.212 0.212
0.000 0.353 0.353
0.000 0.647 0.647
0.500 0.566 0.566
0.500 0.854 0.854
0.000 0.785 0.785
0.500 0.424 0.424
```

=====

(11)
The following is a DFT calculation (GGA-PBE) of an optimized crystal structure of PrSmNi4.

Values from the calculation:
Its final energy is -0.2064 Ha/atom. For the energy above the most stable polymorph in this dataset, the calculation gives 3 meV/atom.

```
PrSmNi4
1.0
0.000 3.640 3.640
3.640 0.000 3.640
3.640 3.640 0.000
Pr Sm Ni
1 1 4
direct
0.000 0.000 0.000
0.250 0.250 0.250
0.126 0.625 0.625
0.625 0.126 0.625
0.625 0.625 0.126
0.625 0.625 0.625
```

=====

(12)
The following is a DFT calculation (GGA-PBE) of an optimized crystal structure of PrSmNi4.

Values from the calculation:
Its final energy is -0.2065 Ha/atom. For the energy above the most stable polymorph in this dataset, the calculation gives 0 meV/atom.

```
PrSmNi4
1.0
-2.017 3.901 3.496
2.017 -3.901 3.496
2.017 3.901 -3.496
Pr Sm Ni
1 1 4
direct
0.000 0.000 0.000
0.495 0.995 0.500
0.080 0.331 0.749
0.419 0.663 0.756
0.582 0.331 0.251
0.907 0.663 0.244
```

=====

(13)
The following is a DFT calculation (GGA-PBE) of an optimized crystal structure of Pr2SmNi9.

Values from the calculation:
Its final energy is -0.2085 Ha/atom.

```
Pr2SmNi9
1.0
2.503 1.445 8.260
-2.503 1.445 8.260
0.000 -2.890 8.260
Pr Sm Ni
2 1 9
direct
0.138 0.138 0.138
0.862 0.862 0.862
0.000 0.000 0.000
0.081 0.579 0.579
0.333 0.333 0.333
0.421 0.421 0.919
0.421 0.919 0.421
0.500 0.500 0.500
0.579 0.081 0.579
0.579 0.579 0.081
0.667 0.667 0.667
0.919 0.421 0.421
```

=====

(14)
The following is a DFT calculation (GGA-PBE) of an optimized crystal structure of PrSmNi2.

Values from the calculation:
Its final energy is -0.2012 Ha/atom.

```
PrSmNi2
1.0
4.553 0.000 0.000
0.000 1.851 5.022
0.000 -1.851 5.022
Pr Sm Ni
1 1 2
direct
0.000 0.000 0.000
0.500 0.279 0.279
0.000 0.714 0.714
0.500 0.569 0.569
```

=====

(15)
The following is a DFT calculation (GGA-PBE) of an optimized crystal structure of PrSmNi2Sn.

Values from the calculation:
Its final energy is -0.2006 Ha/atom.

```
PrSmNi2Sn
1.0
3.782 0.000 0.000
0.000 2.041 7.053
0.000 -2.041 7.053
Pr Sm Ni Sn
1 1 2 1
direct
0.000 0.000 0.000
0.000 0.271 0.271
0.500 0.435 0.435
0.500 0.833 0.833
0.500 0.637 0.637
```

=====

(16)
The following is a DFT calculation (GGA-PBE) of an optimized crystal structure of PrSm2Tl3Ni3.

Values from the calculation:
Its final energy is -0.1673 Ha/atom.

```
PrSm2Tl3Ni3
1.0
3.872 0.000 0.000
0.000 6.642 3.841
0.000 -6.642 3.841
Pr Sm Tl Ni
1 2 3 3
direct
0.000 0.000 0.000
0.000 0.409 0.817
0.000 0.817 0.409
0.500 0.153 0.412
0.500 0.412 0.153
0.500 0.663 0.663
0.000 0.409 0.409
0.500 0.077 0.740
0.500 0.740 0.077
```

=====

(17)
The following is a DFT calculation (GGA-PBE) of an optimized crystal structure of PrNi4Sn2.

Values from the calculation:
Its final energy is -0.1995 Ha/atom.

```
PrNi4Sn2
1.0
-3.865 3.865 3.962
3.865 -3.865 3.962
3.865 3.865 -3.962
Pr Ni Sn
2 8 4
direct
0.250 0.250 0.000
0.750 0.750 0.000
0.025 0.526 0.224
0.199 0.975 0.501
0.302 0.801 0.776
0.474 0.698 0.499
0.525 0.301 0.499
0.699 0.198 0.224
0.802 0.026 0.501
0.974 0.475 0.776
0.160 0.340 0.500
0.340 0.840 0.181
0.660 0.160 0.819
0.840 0.660 0.500
```

=====

(18)
The following is a DFT calculation (GGA-PBE) of an optimized crystal structure of PrNiSn.

Values from the calculation:
Its final energy is -0.1751 Ha/atom.

```
PrNiSn
1.0
8.524 0.000 0.000
-4.262 7.382 0.000
0.000 0.000 3.389
Pr Ni Sn
3 3 3
direct
0.000 0.299 0.000
0.299 0.000 0.000
0.701 0.701 0.000
0.000 0.619 0.500
0.381 0.381 0.500
0.619 0.000 0.500
0.000 0.000 0.500
0.333 0.667 0.000
0.667 0.333 0.000
```

=====

(19)
The following is a DFT calculation (GGA-PBE) of an optimized crystal structure of PrNiSn.

Values from the calculation:
Its final energy is -0.1985 Ha/atom.

```
PrNiSn
1.0
7.538 0.000 0.000
0.000 4.600 0.000
0.000 0.000 7.725
Pr Ni Sn
4 4 4
direct
0.018 0.250 0.197
0.482 0.750 0.697
0.518 0.250 0.303
0.982 0.750 0.803
0.191 0.750 0.415
0.309 0.250 0.915
0.691 0.750 0.085
0.809 0.250 0.585
0.184 0.250 0.588
0.316 0.750 0.088
0.684 0.250 0.912
0.816 0.750 0.412
```

=====

(20)
The following is a DFT calculation (GGA-PBE) of an optimized crystal structure of PrNi5Sn.

Values from the calculation:
Its final energy is -0.2043 Ha/atom.

```
PrNi5Sn
1.0
4.923 0.000 0.000
-2.461 4.263 0.000
0.000 0.000 19.752
Pr Ni Sn
4 20 4
direct
0.000 0.000 0.000
0.000 0.000 0.500
0.333 0.667 0.250
0.667 0.333 0.750
0.000 0.000 0.250
0.000 0.000 0.750
0.165 0.332 0.646
0.165 0.332 0.854
0.167 0.835 0.646
0.167 0.835 0.854
0.332 0.167 0.146
0.332 0.167 0.354
0.333 0.667 0.544
0.333 0.667 0.750
0.333 0.667 0.956
0.667 0.333 0.044
0.667 0.333 0.250
0.667 0.333 0.456
0.668 0.833 0.646
0.668 0.833 0.854
0.833 0.165 0.146
0.833 0.165 0.354
0.835 0.668 0.146
0.835 0.668 0.354
0.333 0.667 0.087
0.333 0.667 0.413
0.667 0.333 0.587
0.667 0.333 0.913
```